Crystalline Fe4Co3 at its relaxed geometry, computed with PBE.

Polymorph energy (0 for the lowest one) in eV per formula unit: 0.16
E in eV/atom: -7.908

Cell lengths 4.0203, 4.0203, 17.2069 Å; angles 90.00, 90.00, 120.00 degrees
Space group R3m (No. 160, hexagonal axes)
Asymmetric unit:
Fe1 0.0000 0.0000 0.0000 x3
Fe2 0.0000 0.0000 0.1424 x3
Fe3 0.0000 0.0000 0.5714 x3
Fe4 0.0000 0.0000 0.8566 x3
Co1 0.0000 0.0000 0.2858 x3
Co2 0.0000 0.0000 0.4298 x3
Co3 0.0000 0.0000 0.7130 x3

=====

Crystalline Fe5Co3 at its relaxed geometry, computed with PBE.

Polymorph energy (0 for the lowest one) in eV per formula unit: 0.15
E in eV/atom: -7.996

Cell lengths 4.7465, 4.0137, 4.9372 Å; angles 90.00, 100.52, 90.00 degrees
Space group P2/m (No. 10)
Asymmetric unit:
Fe1 0.0000 0.0000 0.0000 x1
Fe2 0.2490 0.5000 0.3753 x2
Fe3 0.4978 0.0000 0.7502 x2
Co1 0.0000 0.0000 0.5000 x1
Co2 0.2472 0.5000 0.8740 x2

=====

> The highest polymorph energy (0 for the lowest one) belongs to which entry?

Fe4Co3

=====

> Which of these has the highest polymorph energy (0 for the lowest one)?

Fe4Co3

=====

> Look up the E of the first one.

-7.908 eV/atom

=====

> The lowest E belongs to which entry?

Fe5Co3